[1]
Er3SiTe2: optimized geometry, PBE.

## Properties
Space group: C2/c
Energy relative to the elements, uncorrected in meV/atom: -1170.9

a b c (Å): 7.3725 7.3725 7.3169
angles (deg): 99.81 99.81 119.16
With the nearest neighbours (Å) after each atom.
Atoms (fractional coordinates):
1 Er 0.0000 0.5000 0.0000  2 Si 2.94, 4 Te 3.02-3.03
2 Er 0.1400 0.2844 0.4933  2 Si 2.84-2.85, 3 Te 3.03-3.16
3 Er 0.2844 0.1400 0.9933  2 Si 2.84-2.85, 3 Te 3.03-3.16
4 Er 0.5000 0.0000 0.5000  2 Si 2.94, 4 Te 3.02-3.03
5 Er 0.7156 0.8600 0.0067  2 Si 2.84-2.85, 3 Te 3.03-3.16
6 Er 0.8600 0.7156 0.5067  2 Si 2.84-2.85, 3 Te 3.03-3.16
7 Si 0.0910 0.9090 0.2500  6 Er 2.84-2.94
8 Si 0.9090 0.0910 0.7500  6 Er 2.84-2.94
9 Te 0.2603 0.7397 0.7500  6 Er 3.02-3.16
10 Te 0.4196 0.5804 0.2500  6 Er 3.03-3.22
11 Te 0.5804 0.4196 0.7500  6 Er 3.03-3.22
12 Te 0.7397 0.2603 0.2500  6 Er 3.02-3.16

=====

[2]
MgScCdPb: optimized geometry, PBE.

## Properties
Space group: Pmmm
Calculated formation energy in eV per atom: -0.2656

a b c (Å): 4.2663 4.5075 4.7742
angles (deg): 90.00 90.00 90.00
With the nearest neighbours (Å) after each atom.
Atoms (fractional coordinates):
1 Mg 0.0000 0.0000 0.0000  4 Cd 3.10, 4 Pb 3.20, 4 Sc 3.28
2 Sc 0.0000 0.5000 0.5000  4 Pb 3.10, 4 Cd 3.20, 4 Mg 3.28
3 Cd 0.5000 0.5000 0.0000  4 Mg 3.10, 4 Sc 3.20, 4 Pb 3.28
4 Pb 0.5000 0.0000 0.5000  4 Sc 3.10, 4 Mg 3.20, 4 Cd 3.28

=====

[3]
Ba6PdPt2Br3: optimized geometry, PBE.

## Properties
Space group: C2/m
Energy relative to the elements, uncorrected in meV/atom: -1226.3

a b c (Å): 7.9355 7.9355 8.7426
angles (deg): 98.70 98.70 119.99
With the nearest neighbours (Å) after each atom.
Atoms (fractional coordinates):
1 Ba 0.0909 0.4288 0.7865  2 Pt 3.17, 1 Pd 3.22, 1 Br 3.54
2 Ba 0.2333 0.2333 0.2136  2 Pt 3.17, 1 Pd 3.22, 1 Br 3.54
3 Ba 0.4288 0.0909 0.7865  2 Pt 3.17, 1 Pd 3.22, 1 Br 3.54
4 Ba 0.5712 0.9091 0.2135  2 Pt 3.17, 1 Pd 3.22, 1 Br 3.54
5 Ba 0.7667 0.7667 0.7864  2 Pt 3.17, 1 Pd 3.22, 1 Br 3.54
6 Ba 0.9091 0.5712 0.2135  2 Pt 3.17, 1 Pd 3.22, 1 Br 3.54
7 Pd 0.5000 0.5000 0.0000  6 Ba 3.22
8 Pt 0.1667 0.8333 0.0000  6 Ba 3.17
9 Pt 0.8333 0.1667 0.0000  6 Ba 3.17
10 Br 0.0000 0.0000 0.5000  6 Ba 3.54-3.58
11 Br 0.3341 0.6659 0.5000  6 Ba 3.54-3.58
12 Br 0.6659 0.3341 0.5000  6 Ba 3.54-3.58

=====

[4]
ThH2Ir: optimized geometry, PBE.

## Properties
Space group: R-3m
Total DFT energy (no corrections) in Ha/atom: -0.2334

a b c (Å): 4.2923 4.2923 4.2923
angles (deg): 60.06 60.06 60.06
With the nearest neighbours (Å) after each atom.
Atoms (fractional coordinates):
1 Th 0.0000 0.0000 0.0000  6 H 2.48
2 H 0.3383 0.3383 0.3383  1 Ir 1.70
3 H 0.6617 0.6617 0.6617  1 Ir 1.70
4 Ir 0.5000 0.5000 0.5000  2 H 1.70

=====

[5]
SrCoPt2: optimized geometry, PBE.

## Properties
Space group: P4mm
Calculated formation energy in eV per atom: 0.0230

a b c (Å): 3.3535 3.3535 6.8937
angles (deg): 90.00 90.00 90.00
With the nearest neighbours (Å) after each atom.
Atoms (fractional coordinates):
1 Sr 0.0000 0.0000 0.0000  5 Pt 3.11-3.24, 4 Co 3.32, 4 Sr 3.35
2 Co 0.5000 0.5000 0.3362  5 Pt 2.54-2.56
3 Pt 0.0000 0.0000 0.4695  4 Co 2.54
4 Pt 0.5000 0.5000 0.7079  1 Co 2.56

=====

[6]
RuRhS2: optimized geometry, PBE.

## Properties
Space group: R-3m
Energy relative to the elements, uncorrected in meV/atom: -41.7

a b c (Å): 7.7106 7.7106 7.7106
angles (deg): 23.73 23.73 23.73
With the nearest neighbours (Å) after each atom.
Atoms (fractional coordinates):
1 Ru 0.0000 0.0000 0.0000  6 S 2.38
2 Rh 0.5000 0.5000 0.5000  2 S 2.23
3 S 0.4007 0.4007 0.4007  1 Rh 2.23, 3 Ru 2.38
4 S 0.5993 0.5993 0.5993  1 Rh 2.23, 3 Ru 2.38

=====

[7]
PrEuCdCu: optimized geometry, PBE.

## Properties
Space group: F-43m
Calculated formation energy in eV per atom: -0.1636

a b c (Å): 5.3489 5.3489 5.3489
angles (deg): 60.00 60.00 60.00
With the nearest neighbours (Å) after each atom.
Atoms (fractional coordinates):
1 Pr 0.0000 0.0000 0.0000  4 Cd 3.28, 4 Cu 3.28
2 Eu 0.5000 0.5000 0.5000  4 Cd 3.28, 4 Cu 3.28
3 Cd 0.7500 0.7500 0.7500  4 Pr 3.28, 4 Eu 3.28
4 Cu 0.2500 0.2500 0.2500  4 Eu 3.28, 4 Pr 3.28

=====

[8]
Cu2TcMo: optimized geometry, PBE.

## Properties
Space group: R-3m
Calculated formation energy in eV per atom: 0.3380

a b c (Å): 9.1007 9.1007 9.1007
angles (deg): 16.88 16.88 16.88
With the nearest neighbours (Å) after each atom.
Atoms (fractional coordinates):
1 Cu 0.2487 0.2487 0.2487  6 Cu 2.67, 3 Tc 2.69, 3 Mo 2.75
2 Cu 0.7513 0.7513 0.7513  6 Cu 2.67, 3 Tc 2.69, 3 Mo 2.75
3 Tc 0.5000 0.5000 0.5000  6 Tc 2.67, 6 Cu 2.69
4 Mo 0.0000 0.0000 0.0000  6 Mo 2.67, 6 Cu 2.75

=====

[9]
Tm7Pd3: optimized geometry, PBE.

## Properties
Space group: P6_3mc
Calculated formation energy in eV per atom: -0.5815

a b c (Å): 9.7672 9.7672 6.2040
angles (deg): 90.00 90.00 120.00
With the nearest neighbours (Å) after each atom.
Atoms (fractional coordinates):
1 Tm 0.0802 0.5401 0.0000  2 Pd 2.83
2 Tm 0.1255 0.2510 0.3012  3 Pd 2.87-2.89
3 Tm 0.1255 0.8745 0.3012  3 Pd 2.87-2.89
4 Tm 0.2510 0.1255 0.8012  3 Pd 2.87-2.89
5 Tm 0.3333 0.6667 0.4880  3 Pd 2.85
6 Tm 0.4599 0.5401 0.0000  2 Pd 2.83
7 Tm 0.4599 0.9198 0.0000  2 Pd 2.83
8 Tm 0.5401 0.0802 0.5000  2 Pd 2.83
9 Tm 0.5401 0.4599 0.5000  2 Pd 2.83
10 Tm 0.6667 0.3333 0.9880  3 Pd 2.85
11 Tm 0.7490 0.8745 0.3012  3 Pd 2.87-2.89
12 Tm 0.8745 0.1255 0.8012  3 Pd 2.87-2.89
13 Tm 0.8745 0.7490 0.8012  3 Pd 2.87-2.89
14 Tm 0.9198 0.4599 0.5000  2 Pd 2.83
15 Pd 0.1906 0.3811 0.7326  6 Tm 2.83-2.89
16 Pd 0.1906 0.8094 0.7326  6 Tm 2.83-2.89
17 Pd 0.3811 0.1906 0.2326  6 Tm 2.83-2.89
18 Pd 0.6189 0.8094 0.7326  6 Tm 2.83-2.89
19 Pd 0.8094 0.1906 0.2326  6 Tm 2.83-2.89
20 Pd 0.8094 0.6189 0.2326  6 Tm 2.83-2.89

=====

[10]
SmAlAg2Te4: optimized geometry, PBE.

## Properties
Space group: Imma
Energy relative to the elements, uncorrected in meV/atom: -484.7

a b c (Å): 8.6201 8.6201 8.6201
angles (deg): 122.72 116.52 90.73
With the nearest neighbours (Å) after each atom.
Atoms (fractional coordinates):
1 Sm 0.0000 0.0000 0.0000  6 Te 3.13
2 Sm 0.5000 0.0000 0.5000  6 Te 3.13
3 Al 0.5000 0.0000 0.0000  4 Te 2.82
4 Al 0.5000 0.5000 0.5000  4 Te 2.82
5 Ag 0.0000 0.0000 0.5000  2 Te 2.86
6 Ag 0.0000 0.5000 0.0000  2 Te 2.86
7 Ag 0.0000 0.5000 0.5000  6 Te 2.96-3.02
8 Ag 0.5000 0.5000 0.0000  6 Te 2.96-3.02
9 Te 0.2357 0.2454 0.5097  3 Ag 2.86-3.02, 2 Sm 3.13
10 Te 0.2357 0.7260 0.9903  3 Ag 2.86-3.02, 2 Sm 3.13
11 Te 0.2819 0.7429 0.5390  2 Al 2.82, 1 Ag 2.96, 1 Sm 3.13
12 Te 0.2961 0.2571 0.0390  2 Al 2.82, 1 Ag 2.96, 1 Sm 3.13
13 Te 0.7039 0.7429 0.9610  2 Al 2.82, 1 Ag 2.96, 1 Sm 3.13
14 Te 0.7181 0.2571 0.4610  2 Al 2.82, 1 Ag 2.96, 1 Sm 3.13
15 Te 0.7643 0.2740 0.0097  3 Ag 2.86-3.02, 2 Sm 3.13
16 Te 0.7643 0.7546 0.4903  3 Ag 2.86-3.02, 2 Sm 3.13

=====

[11]
Ca3Ce5Te8: optimized geometry, PBE.

## Properties
Space group: R-3m
Energy relative to the elements, uncorrected in meV/atom: -1434.0

a b c (Å): 9.0586 9.0586 9.0586
angles (deg): 59.32 59.32 59.32
With the nearest neighbours (Å) after each atom.
Atoms (fractional coordinates):
1 Ca 0.0000 0.5000 0.5000  6 Te 3.16
2 Ca 0.5000 0.0000 0.5000  6 Te 3.16
3 Ca 0.5000 0.5000 0.0000  6 Te 3.16
4 Ce 0.0000 0.0000 0.0000  6 Te 3.19
5 Ce 0.0000 0.0000 0.5000  6 Te 3.21
6 Ce 0.0000 0.5000 0.0000  6 Te 3.21
7 Ce 0.5000 0.0000 0.0000  6 Te 3.21
8 Ce 0.5000 0.5000 0.5000  6 Te 3.19
9 Te 0.2500 0.2500 0.7458  2 Ca 3.16, 4 Ce 3.19-3.21
10 Te 0.2500 0.7458 0.2500  2 Ca 3.16, 4 Ce 3.19-3.21
11 Te 0.2520 0.2520 0.2520  3 Ca 3.16, 3 Ce 3.21
12 Te 0.2542 0.7500 0.7500  2 Ca 3.16, 4 Ce 3.19-3.21
13 Te 0.7458 0.2500 0.2500  2 Ca 3.16, 4 Ce 3.19-3.21
14 Te 0.7480 0.7480 0.7480  3 Ca 3.16, 3 Ce 3.21
15 Te 0.7500 0.2542 0.7500  2 Ca 3.16, 4 Ce 3.19-3.21
16 Te 0.7500 0.7500 0.2542  2 Ca 3.16, 4 Ce 3.19-3.21

=====

[12]
KTi2SbSe: optimized geometry, PBE.

## Properties
Space group: P4/mmm
Energy relative to the elements, uncorrected in meV/atom: 515.5

a b c (Å): 5.2699 5.2699 6.0223
angles (deg): 90.00 90.00 90.00
With the nearest neighbours (Å) after each atom.
Atoms (fractional coordinates):
1 K 0.0000 0.0000 0.0000  4 Se 3.73, 8 Ti 4.00
2 Ti 0.0000 0.5000 0.5000  2 Sb 2.63
3 Ti 0.5000 0.0000 0.5000  2 Sb 2.63
4 Sb 0.5000 0.5000 0.5000  4 Ti 2.63
5 Se 0.5000 0.5000 0.0000  2 Sb 3.01

=====

[13]
Ti2SnGe: optimized geometry, PBE.

## Properties
Space group: R-3m
Calculated formation energy in eV per atom: -0.1827

a b c (Å): 9.0785 9.0785 9.0785
angles (deg): 19.56 19.56 19.56
With the nearest neighbours (Å) after each atom.
Atoms (fractional coordinates):
1 Ti 0.2453 0.2453 0.2453  3 Ge 2.75, 3 Sn 2.95
2 Ti 0.7547 0.7547 0.7547  3 Ge 2.75, 3 Sn 2.95
3 Sn 0.0000 0.0000 0.0000  6 Ti 2.95, 6 Sn 3.09
4 Ge 0.5000 0.5000 0.5000  6 Ti 2.75

=====

[14]
Ca3Tl2Cd2Hg4: optimized geometry, PBE.

## Properties
Space group: P-3m1
Calculated formation energy in eV per atom: -0.2982

a b c (Å): 5.0387 5.0387 13.8663
angles (deg): 90.00 90.00 120.00
With the nearest neighbours (Å) after each atom.
Atoms (fractional coordinates):
1 Ca 0.0000 0.0000 0.0000  6 Hg 3.34, 6 Tl 3.51
2 Ca 0.0000 0.0000 0.2759  3 Hg 3.20, 3 Tl 3.46, 3 Cd 3.53
3 Ca 0.0000 0.0000 0.7240  3 Hg 3.20, 3 Tl 3.46, 3 Cd 3.53
4 Tl 0.3333 0.6667 0.1411  4 Hg 2.93-3.19
5 Tl 0.6667 0.3333 0.8589  4 Hg 2.93-3.19
6 Cd 0.3333 0.6667 0.5802  4 Hg 2.90-2.99
7 Cd 0.6667 0.3333 0.4198  4 Hg 2.90-2.99
8 Hg 0.3333 0.6667 0.3713  4 Cd 2.90-2.99, 1 Tl 3.19, 3 Ca 3.20
9 Hg 0.3333 0.6667 0.8815  3 Tl 2.93
10 Hg 0.6667 0.3333 0.1185  3 Tl 2.93
11 Hg 0.6667 0.3333 0.6287  4 Cd 2.90-2.99, 1 Tl 3.19, 3 Ca 3.20

=====

[15]
Zr4O: optimized geometry, PBE.

## Properties
Space group: R-3
Energy relative to the elements, uncorrected in meV/atom: -1101.3

a b c (Å): 10.9432 10.9432 10.9432
angles (deg): 29.99 29.99 29.99
With the nearest neighbours (Å) after each atom.
Atoms (fractional coordinates):
1 Zr 0.0334 0.3764 0.7143  2 O 2.28
2 Zr 0.1238 0.7916 0.4623  1 O 2.30
3 Zr 0.2084 0.5377 0.8762  1 O 2.30
4 Zr 0.2857 0.9666 0.6236  2 O 2.28
5 Zr 0.3764 0.7143 0.0334  2 O 2.28
6 Zr 0.4623 0.1238 0.7916  1 O 2.30
7 Zr 0.5377 0.8762 0.2084  1 O 2.30
8 Zr 0.6236 0.2857 0.9666  2 O 2.28
9 Zr 0.7143 0.0334 0.3764  2 O 2.28
10 Zr 0.7916 0.4623 0.1238  1 O 2.30
11 Zr 0.8762 0.2084 0.5377  1 O 2.30
12 Zr 0.9666 0.6236 0.2857  2 O 2.28
13 O 0.0000 0.0000 0.0000  6 Zr 2.28
14 O 0.2498 0.2498 0.2498  6 Zr 2.28-2.30
15 O 0.7502 0.7502 0.7502  6 Zr 2.28-2.30

=====

[16]
NaTcIN2: optimized geometry, PBE.

## Properties
Space group: P4/mmm
Energy relative to the elements, uncorrected in meV/atom: 2720.1

a b c (Å): 4.1057 4.1057 5.2976
angles (deg): 90.00 90.00 90.00
With the nearest neighbours (Å) after each atom.
Atoms (fractional coordinates):
1 Na 0.0000 0.0000 0.0000  4 N 2.05
2 Tc 0.5000 0.5000 0.5000  4 I 2.90
3 I 0.0000 0.0000 0.5000  2 Na 2.65, 4 Tc 2.90
4 N 0.0000 0.5000 0.0000  2 Na 2.05
5 N 0.5000 0.0000 0.0000  2 Na 2.05

=====

[17]
NdSm6Ho3Er2: optimized geometry, PBE.

## Properties
Space group: C2/m
Calculated formation energy in eV per atom: 0.0155

a b c (Å): 6.2155 6.2155 11.8456
angles (deg): 95.00 95.00 119.98
With the nearest neighbours (Å) after each atom.
Atoms (fractional coordinates):
1 Nd 0.0000 0.0000 0.0000  6 Er 3.59, 6 Sm 3.59
2 Sm 0.0841 0.4183 0.2513  3 Ho 3.56-3.57, 6 Sm 3.58-3.60, 2 Er 3.59, 1 Nd 3.59
3 Sm 0.2500 0.2500 0.7489  3 Ho 3.56-3.57, 6 Sm 3.58-3.60, 2 Er 3.59, 1 Nd 3.59
4 Sm 0.4183 0.0841 0.2513  3 Ho 3.56-3.57, 6 Sm 3.58-3.60, 2 Er 3.59, 1 Nd 3.59
5 Sm 0.5817 0.9159 0.7487  3 Ho 3.56-3.57, 6 Sm 3.58-3.60, 2 Er 3.59, 1 Nd 3.59
6 Sm 0.7500 0.7500 0.2511  3 Ho 3.56-3.57, 6 Sm 3.58-3.60, 2 Er 3.59, 1 Nd 3.59
7 Sm 0.9159 0.5817 0.7487  3 Ho 3.56-3.57, 6 Sm 3.58-3.60, 2 Er 3.59, 1 Nd 3.59
8 Ho 0.1669 0.8331 0.5000  6 Sm 3.56-3.57, 6 Ho 3.59
9 Ho 0.5000 0.5000 0.5000  6 Sm 3.56-3.57, 6 Ho 3.59
10 Ho 0.8331 0.1669 0.5000  6 Sm 3.56-3.57, 6 Ho 3.59
11 Er 0.3334 0.6666 0.0000  6 Sm 3.59, 3 Er 3.59, 3 Nd 3.59
12 Er 0.6666 0.3334 0.0000  6 Sm 3.59, 3 Er 3.59, 3 Nd 3.59

=====

[18]
YInAg2: optimized geometry, PBE.

## Properties
Space group: R-3m
Calculated formation energy in eV per atom: -0.0354

a b c (Å): 7.8063 7.8063 7.8063
angles (deg): 29.34 29.34 29.34
With the nearest neighbours (Å) after each atom.
Atoms (fractional coordinates):
1 Y 0.0000 0.0000 0.0000  6 Ag 3.03
2 In 0.5000 0.5000 0.5000  6 Ag 2.87
3 Ag 0.2445 0.2445 0.2445  3 In 2.87, 3 Y 3.03
4 Ag 0.7555 0.7555 0.7555  3 In 2.87, 3 Y 3.03

=====

[19]
SrAgSe2O8: optimized geometry, PBE.

## Properties
Space group: R-3
Energy relative to the elements, uncorrected in meV/atom: -954.4

a b c (Å): 8.0775 8.0775 8.0775
angles (deg): 37.26 37.26 37.26
With the nearest neighbours (Å) after each atom.
Atoms (fractional coordinates):
1 Sr 0.0000 0.0000 0.0000  12 O 2.89-2.99
2 Ag 0.5000 0.5000 0.5000  6 O 2.35
3 Se 0.2505 0.2505 0.2505  4 O 1.68
4 Se 0.7495 0.7495 0.7495  4 O 1.68
5 O 0.0685 0.4457 0.7988  1 Se 1.68
6 O 0.2012 0.9315 0.5543  1 Se 1.68
7 O 0.3250 0.3250 0.3250  1 Se 1.68
8 O 0.4457 0.7988 0.0685  1 Se 1.68
9 O 0.5543 0.2012 0.9315  1 Se 1.68
10 O 0.6750 0.6750 0.6750  1 Se 1.68
11 O 0.7988 0.0685 0.4457  1 Se 1.68
12 O 0.9315 0.5543 0.2012  1 Se 1.68

=====

[20]
BaOsBr2: optimized geometry, PBE.

## Properties
Space group: R-3m
Energy relative to the elements, uncorrected in meV/atom: -65.1

a b c (Å): 5.1742 5.1742 5.1742
angles (deg): 68.77 68.77 68.77
With the nearest neighbours (Å) after each atom.
Atoms (fractional coordinates):
1 Ba 0.0000 0.0000 0.0000  8 Br 3.41
2 Os 0.5000 0.5000 0.5000  2 Br 2.47
3 Br 0.2900 0.2900 0.2900  1 Os 2.47
4 Br 0.7100 0.7100 0.7100  1 Os 2.47

=====

How do the records compare in DOS(E_F)? In the order shown, they have 2.98 1.69 9.34 1.33 4.51 5.22 7.91 5.33 25.26 1.87 36.46 7.90 4.48 4.25 6.24 10.17 14.48 0.97 5.52 0.00 states/eV per cell.